The following is a PBE-GGA calculation of a relaxed MnAlTcW crystal, from the Alexandria database.

Values from the calculation:
V   55.73 Å³/cell
E_tot   -9.285 eV/atom
Magnetic moment   0.956 μB/cell
DFT formation energy   -0.23 eV/atom

a = 4.2876 Å, b = 4.2876 Å, c = 4.2876 Å
α = 60.00°, β = 60.00°, γ = 60.00°
Closest atoms and distances in Å follow each position.
Sites, in units of the cell vectors:
Al 0.5000 0.5000 0.5000  4 Tc 2.63, 4 Mn 2.63
W 0.0000 0.0000 0.0000  4 Mn 2.63, 4 Tc 2.63
Mn 0.7500 0.7500 0.7500  4 W 2.63, 4 Al 2.63
Tc 0.2500 0.2500 0.2500  4 W 2.63, 4 Al 2.63



The following is a PBE-GGA calculation of a relaxed ZrMnAlTc crystal, from the Alexandria database.

Values from the calculation:
V   63.47 Å³/cell
E_tot   -8.246 eV/atom
Magnetic moment   2.946 μB/cell
DFT formation energy   -0.29 eV/atom

a = 4.4774 Å, b = 4.4774 Å, c = 4.4774 Å
α = 60.00°, β = 60.00°, γ = 60.00°
Closest atoms and distances in Å follow each position.
Sites, in units of the cell vectors:
Al 0.7500 0.7500 0.7500  4 Mn 2.74, 4 Tc 2.74
Mn 0.0000 0.0000 0.0000  4 Zr 2.74, 4 Al 2.74
Zr 0.2500 0.2500 0.2500  4 Mn 2.74, 4 Tc 2.74
Tc 0.5000 0.5000 0.5000  4 Al 2.74, 4 Zr 2.74